Compound: Ca2UPaSb4
Source: Alexandria
Functional: PBE-GGA
Structure: relaxed

Summary:
**Space group**: No. 10
**Total moment**: 3.0 μB/f.u.
**DOS(E_F)**: 1.5776 states/eV per atom
**V**: 31.37 Å³/atom
**E_form (uncorrected)**: -0.6490 eV per atom

a b c (Å): 7.686 4.448 7.780
angles (deg): 90.00 109.32 90.00
Sites, in units of the cell vectors:
Ca  0.000  0.000  0.000
Ca  0.500  0.500  0.000
U  0.000  0.500  0.500
Pa  0.500  0.000  0.500
Sb  0.248  0.000  0.737
Sb  0.257  0.500  0.263
Sb  0.743  0.500  0.737
Sb  0.752  0.000  0.263



Compound: CuHBr
Source: Alexandria
Functional: PBE-GGA
Structure: relaxed

Summary:
**Space group**: No. 1
**Total moment**: 0.0 μB/f.u.
**DOS(E_F)**: 0.0000 states/eV per atom
**Total DFT energy (no corrections)**: -3.181 eV per atom
**V**: 20.36 Å³/atom

a b c (Å): 3.925 5.578 6.487
angles (deg): 66.53 78.30 70.19
Sites, in units of the cell vectors:
Cu  0.000  0.000  0.000
Cu  0.077  0.555  0.974
H  0.155  0.683  0.131
H  0.922  0.872  0.843
Br  0.258  0.100  0.252
Br  0.813  0.455  0.723



Compound: HoPaCu2
Source: Alexandria
Functional: PBE-GGA
Structure: relaxed

Summary:
**Space group**: No. 123
**Total moment**: 0.0 μB/f.u.
**DOS(E_F)**: 1.3173 states/eV per atom
**Total DFT energy (no corrections)**: -5.582 eV per atom
**V**: 20.06 Å³/atom

a b c (Å): 3.283 3.283 7.446
angles (deg): 90.00 90.00 90.00
Sites, in units of the cell vectors:
Ho  0.000  0.000  0.000
Pa  0.000  0.000  0.500
Cu  0.500  0.500  0.245
Cu  0.500  0.500  0.755



Compound: TbPr2CuS5
Source: Alexandria
Functional: PBE-GGA
Structure: relaxed

Summary:
**Space group**: No. 36
**Total moment**: 0.0 μB/f.u.
**DOS(E_F)**: 0.0007 states/eV per atom
**V**: 21.83 Å³/atom
**E_form (uncorrected)**: -1.7534 eV per atom

a b c (Å): 8.730 8.730 11.712
angles (deg): 90.00 90.00 153.88
Sites, in units of the cell vectors:
Tb  0.195  0.805  0.500
Tb  0.805  0.195  0.000
Pr  0.109  0.891  0.176
Pr  0.122  0.878  0.801
Pr  0.878  0.122  0.301
Pr  0.891  0.109  0.676
Cu  0.442  0.558  0.944
Cu  0.558  0.442  0.444
S  0.043  0.957  0.547
S  0.290  0.710  0.163
S  0.314  0.686  0.839
S  0.357  0.643  0.492
S  0.499  0.501  0.268
S  0.501  0.499  0.768
S  0.643  0.357  0.992
S  0.686  0.314  0.339
S  0.710  0.290  0.663
S  0.957  0.043  0.047



Compound: ErTh3Sc7
Source: Alexandria
Functional: PBE-GGA
Structure: relaxed

Summary:
**Space group**: No. 156
**Total moment**: 0.0 μB/f.u.
**DOS(E_F)**: 1.4444 states/eV per atom
**Total DFT energy (no corrections)**: -6.242 eV per atom
**V**: 28.67 Å³/atom

a b c (Å): 6.742 6.742 8.011
angles (deg): 90.00 90.00 120.00
Sites, in units of the cell vectors:
Er  0.000  0.000  0.000
Th  0.168  0.335  0.657
Th  0.168  0.832  0.657
Th  0.665  0.832  0.657
Sc  0.001  0.500  0.999
Sc  0.333  0.667  0.321
Sc  0.336  0.168  0.326
Sc  0.500  0.500  0.999
Sc  0.500  0.999  0.999
Sc  0.832  0.168  0.326
Sc  0.832  0.664  0.326



Compound: V4Os2Pt
Source: Alexandria
Functional: PBE-GGA
Structure: relaxed

Summary:
**Space group**: No. 139
**Total moment**: 3.1 μB/f.u.
**DOS(E_F)**: 1.5649 states/eV per atom
**Total DFT energy (no corrections)**: -8.260 eV per atom
**V**: 18.54 Å³/atom

a b c (Å): 6.972 6.972 6.972
angles (deg): 141.60 141.60 55.43
Sites, in units of the cell vectors:
V  0.000  0.500  0.500
V  0.203  0.203  0.000
V  0.500  0.000  0.500
V  0.797  0.797  0.000
Os  0.389  0.389  0.000
Os  0.611  0.611  0.000
Pt  0.000  0.000  0.000



Compound: SrAgPS4
Source: Alexandria
Functional: PBE-GGA
Structure: relaxed

Summary:
**Space group**: No. 74
**Total moment**: 0.0 μB/f.u.
**V**: 25.09 Å³/atom
**E_form (uncorrected)**: -0.6603 eV per atom

a b c (Å): 7.924 7.924 7.924
angles (deg): 128.33 101.32 100.57
Sites, in units of the cell vectors:
Sr  0.000  0.000  0.000
Sr  0.500  0.000  0.500
Ag  0.500  0.000  0.000
Ag  0.500  0.500  0.500
P  0.150  0.400  0.750
P  0.850  0.600  0.250
S  0.118  0.692  0.426
S  0.235  0.308  0.926
S  0.268  0.258  0.490
S  0.268  0.777  0.010
S  0.732  0.223  0.990
S  0.732  0.742  0.510
S  0.765  0.692  0.074
S  0.882  0.308  0.574



Compound: Sm2Er6Zr
Source: Alexandria
Functional: PBE-GGA
Structure: relaxed

Summary:
**Space group**: No. 15
**Total moment**: 0.0 μB/f.u.
**DOS(E_F)**: 1.3681 states/eV per atom
**Total DFT energy (no corrections)**: -4.952 eV per atom
**V**: 30.42 Å³/atom

a b c (Å): 10.002 10.002 6.577
angles (deg): 96.23 96.23 121.40
Sites, in units of the cell vectors:
Sm  0.164  0.217  0.404
Sm  0.217  0.164  0.904
Sm  0.783  0.836  0.096
Sm  0.836  0.783  0.596
Er  0.120  0.803  0.991
Er  0.144  0.543  0.332
Er  0.197  0.880  0.509
Er  0.210  0.490  0.847
Er  0.457  0.856  0.168
Er  0.490  0.210  0.347
Er  0.510  0.790  0.653
Er  0.543  0.144  0.832
Er  0.790  0.510  0.153
Er  0.803  0.120  0.491
Er  0.856  0.457  0.668
Er  0.880  0.197  0.009
Zr  0.478  0.522  0.250
Zr  0.522  0.478  0.750



Compound: Mg2BeFe
Source: Alexandria
Functional: PBE-GGA
Structure: relaxed

Summary:
**Space group**: No. 123
**Total moment**: 2.0 μB/f.u.
**DOS(E_F)**: 0.4714 states/eV per atom
**Total DFT energy (no corrections)**: -3.539 eV per atom
**V**: 14.66 Å³/atom

a b c (Å): 3.905 3.905 3.844
angles (deg): 90.00 90.00 90.00
Sites, in units of the cell vectors:
Mg  0.000  0.500  0.000
Mg  0.500  0.000  0.000
Be  0.000  0.000  0.500
Fe  0.500  0.500  0.500



Compound: Cs2SrWBr6
Source: Alexandria
Functional: PBE-GGA
Structure: relaxed

Summary:
**Space group**: No. 225
**Total moment**: 2.0 μB/f.u.
**DOS(E_F)**: 0.5355 states/eV per atom
**V**: 35.71 Å³/atom
**E_form (uncorrected)**: -1.1650 eV per atom

a b c (Å): 7.963 7.963 7.963
angles (deg): 60.00 60.00 60.00
Sites, in units of the cell vectors:
Cs  0.250  0.250  0.250
Cs  0.750  0.750  0.750
Sr  0.000  0.000  0.000
W  0.500  0.500  0.500
Br  0.267  0.267  0.733
Br  0.267  0.733  0.267
Br  0.267  0.733  0.733
Br  0.733  0.267  0.267
Br  0.733  0.267  0.733
Br  0.733  0.733  0.267



Compound: MoICl4
Source: Alexandria
Functional: PBE-GGA
Structure: relaxed

Summary:
**Space group**: No. 82
**Total moment**: 1.0 μB/f.u.
**DOS(E_F)**: 1.3526 states/eV per atom
**V**: 46.97 Å³/atom
**E_form (uncorrected)**: -0.4796 eV per atom

a b c (Å): 7.472 7.472 7.472
angles (deg): 122.72 122.72 85.34
Sites, in units of the cell vectors:
Mo  0.000  0.000  0.000
I  0.250  0.750  0.500
Cl  0.358  0.191  0.318
Cl  0.809  0.127  0.167
Cl  0.873  0.040  0.682
Cl  0.960  0.642  0.833



Compound: CaSiW
Source: Alexandria
Functional: PBE-GGA
Structure: relaxed

Summary:
**Space group**: No. 129
**Total moment**: 0.0 μB/f.u.
**DOS(E_F)**: 0.7350 states/eV per atom
**V**: 20.57 Å³/atom
**E_form (uncorrected)**: -0.2376 eV per atom

a b c (Å): 3.953 3.953 7.900
angles (deg): 90.00 90.00 90.00
Sites, in units of the cell vectors:
Ca  0.250  0.250  0.153
Ca  0.750  0.750  0.847
Si  0.250  0.250  0.717
Si  0.750  0.750  0.283
W  0.250  0.750  0.500
W  0.750  0.250  0.500



Compound: K2AgHPt
Source: Alexandria
Functional: PBE-GGA
Structure: relaxed

Summary:
**Space group**: No. 123
**Total moment**: 0.0 μB/f.u.
**DOS(E_F)**: 0.1072 states/eV per atom
**Total DFT energy (no corrections)**: -2.925 eV per atom
**V**: 24.27 Å³/atom

a b c (Å): 5.927 5.927 3.455
angles (deg): 90.00 90.00 90.00
Sites, in units of the cell vectors:
K  0.000  0.500  0.000
K  0.500  0.000  0.000
Ag  0.000  0.000  0.500
H  0.500  0.500  0.000
Pt  0.500  0.500  0.500



Compound: TlInS2N
Source: Alexandria
Functional: PBE-GGA
Structure: relaxed

Summary:
**Space group**: No. 123
**Total moment**: 2.5 μB/f.u.
**DOS(E_F)**: 0.8998 states/eV per atom
**V**: 24.70 Å³/atom
**E_form (uncorrected)**: 1.0006 eV per atom

a b c (Å): 5.300 5.300 4.395
angles (deg): 90.00 90.00 90.00
Sites, in units of the cell vectors:
Tl  0.000  0.000  0.000
In  0.500  0.500  0.500
S  0.000  0.500  0.000
S  0.500  0.000  0.000
N  0.000  0.000  0.500



Compound: HoMg9Au2
Source: Alexandria
Functional: PBE-GGA
Structure: relaxed

Summary:
**Space group**: No. 141
**Total moment**: 0.0 μB/f.u.
**DOS(E_F)**: 0.3559 states/eV per atom
**Total DFT energy (no corrections)**: -2.374 eV per atom
**V**: 21.89 Å³/atom

a b c (Å): 9.173 9.173 9.173
angles (deg): 99.60 99.60 131.80
Sites, in units of the cell vectors:
Ho  0.375  0.625  0.750
Ho  0.625  0.375  0.250
Mg  0.125  0.875  0.250
Mg  0.129  0.560  0.326
Mg  0.129  0.803  0.569
Mg  0.197  0.266  0.326
Mg  0.197  0.871  0.931
Mg  0.266  0.197  0.826
Mg  0.266  0.440  0.069
Mg  0.440  0.266  0.569
Mg  0.440  0.871  0.174
Mg  0.560  0.129  0.826
Mg  0.560  0.734  0.431
Mg  0.734  0.560  0.931
Mg  0.734  0.803  0.174
Mg  0.803  0.129  0.069
Mg  0.803  0.734  0.674
Mg  0.871  0.197  0.431
Mg  0.871  0.440  0.674
Mg  0.875  0.125  0.750
Au  0.000  0.000  0.000
Au  0.000  0.000  0.500
Au  0.000  0.500  0.000
Au  0.500  0.000  0.500



Compound: YTh2PtRh5
Source: Alexandria
Functional: PBE-GGA
Structure: relaxed

Summary:
**Space group**: No. 140
**Total moment**: 0.0 μB/f.u.
**DOS(E_F)**: 0.7956 states/eV per atom
**Total DFT energy (no corrections)**: -7.534 eV per atom
**V**: 21.11 Å³/atom

a b c (Å): 8.010 8.010 8.010
angles (deg): 116.54 116.54 96.11
Sites, in units of the cell vectors:
Y  0.250  0.250  0.000
Y  0.750  0.750  0.000
Th  0.139  0.639  0.777
Th  0.361  0.139  0.500
Th  0.639  0.861  0.500
Th  0.861  0.361  0.223
Pt  0.250  0.750  0.500
Pt  0.750  0.250  0.500
Rh  0.000  0.000  0.000
Rh  0.054  0.177  0.500
Rh  0.177  0.677  0.124
Rh  0.323  0.446  0.500
Rh  0.446  0.946  0.124
Rh  0.500  0.500  0.000
Rh  0.554  0.054  0.876
Rh  0.677  0.554  0.500
Rh  0.823  0.323  0.876
Rh  0.946  0.823  0.500



Compound: LaBeSn2
Source: Alexandria
Functional: PBE-GGA
Structure: relaxed

Summary:
**Space group**: No. 122
**Total moment**: 0.0 μB/f.u.
**DOS(E_F)**: 0.1953 states/eV per atom
**Total DFT energy (no corrections)**: -4.222 eV per atom
**V**: 29.51 Å³/atom

a b c (Å): 9.057 9.057 9.057
angles (deg): 145.60 145.60 49.44
Sites, in units of the cell vectors:
La  0.000  0.000  0.000
La  0.750  0.250  0.500
Be  0.250  0.750  0.500
Be  0.500  0.500  0.000
Sn  0.265  0.625  0.140
Sn  0.375  0.515  0.640
Sn  0.485  0.125  0.860
Sn  0.875  0.735  0.360



Compound: Be2V2As
Source: Alexandria
Functional: PBE-GGA
Structure: relaxed

Summary:
**Space group**: No. 127
**Total moment**: 0.0 μB/f.u.
**DOS(E_F)**: 0.6657 states/eV per atom
**Total DFT energy (no corrections)**: -5.991 eV per atom
**V**: 13.15 Å³/atom

a b c (Å): 6.108 6.108 3.524
angles (deg): 90.00 90.00 90.00
Sites, in units of the cell vectors:
Be  0.135  0.365  0.000
Be  0.365  0.865  0.000
Be  0.635  0.135  0.000
Be  0.865  0.635  0.000
V  0.148  0.648  0.500
V  0.352  0.148  0.500
V  0.648  0.852  0.500
V  0.852  0.352  0.500
As  0.000  0.000  0.500
As  0.500  0.500  0.500



Compound: TmScZnHg
Source: Alexandria
Functional: PBE-GGA
Structure: relaxed

Summary:
**Space group**: No. 216
**Total moment**: 0.0 μB/f.u.
**DOS(E_F)**: 0.9464 states/eV per atom
**Total DFT energy (no corrections)**: -3.481 eV per atom
**V**: 21.96 Å³/atom

a b c (Å): 4.990 4.990 4.990
angles (deg): 60.00 60.00 60.00
Sites, in units of the cell vectors:
Tm  0.000  0.000  0.000
Sc  0.500  0.500  0.500
Zn  0.250  0.250  0.250
Hg  0.750  0.750  0.750



Compound: KTl2Cl
Source: Alexandria
Functional: PBE-GGA
Structure: relaxed

Summary:
**Space group**: No. 225
**Total moment**: 0.0 μB/f.u.
**DOS(E_F)**: 1.2714 states/eV per atom
**V**: 34.61 Å³/atom
**E_form (uncorrected)**: -0.2586 eV per atom

a b c (Å): 5.807 5.807 5.807
angles (deg): 60.00 60.00 60.00
Sites, in units of the cell vectors:
K  0.000  0.000  0.000
Tl  0.250  0.250  0.250
Tl  0.750  0.750  0.750
Cl  0.500  0.500  0.500



Compound: CeYHo
Source: Alexandria
Functional: PBE-GGA
Structure: relaxed

Summary:
**Space group**: No. 156
**Total moment**: 0.7 μB/f.u.
**DOS(E_F)**: 2.2039 states/eV per atom
**Total DFT energy (no corrections)**: -5.591 eV per atom
**V**: 30.86 Å³/atom

a b c (Å): 3.519 3.519 8.633
angles (deg): 90.00 90.00 120.00
Sites, in units of the cell vectors:
Ce  0.000  0.000  0.000
Y  0.333  0.667  0.667
Ho  0.667  0.333  0.327



Compound: Np2SnAu
Source: Alexandria
Functional: PBE-GGA
Structure: relaxed

Summary:
**Space group**: No. 123
**Total moment**: 8.8 μB/f.u.
**DOS(E_F)**: 3.0833 states/eV per atom
**Total DFT energy (no corrections)**: -8.291 eV per atom
**V**: 23.42 Å³/atom

a b c (Å): 3.200 3.200 9.151
angles (deg): 90.00 90.00 90.00
Sites, in units of the cell vectors:
Np  0.000  0.000  0.238
Np  0.000  0.000  0.762
Sn  0.500  0.500  0.500
Au  0.500  0.500  0.000



Compound: Cr2As2W
Source: Alexandria
Functional: PBE-GGA
Structure: relaxed

Summary:
**Space group**: No. 139
**Total moment**: 4.2 μB/f.u.
**DOS(E_F)**: 1.2039 states/eV per atom
**Total DFT energy (no corrections)**: -7.659 eV per atom
**V**: 15.29 Å³/atom

a b c (Å): 5.627 5.627 5.627
angles (deg): 138.82 138.82 59.65
Sites, in units of the cell vectors:
Cr  0.250  0.750  0.500
Cr  0.750  0.250  0.500
As  0.120  0.120  0.000
As  0.880  0.880  0.000
W  0.500  0.500  0.000